Record 1
Below is a relaxed Li2TiMnO4 crystal, with properties calculated at the GGA-PBEsol level.

Cell and atoms, written as POSCAR:
```
Li2TiMnO4
1.0
-2.912 2.922 4.320
2.912 -2.922 4.320
2.912 2.922 -4.320
Li Ti Mn O
4 2 2 8
direct
0.000 0.000 0.000 Li
0.500 0.000 0.000 Li
0.500 0.000 0.500 Li
0.500 0.500 0.500 Li
0.000 0.000 0.500 Ti
0.000 0.500 0.000 Ti
0.000 0.500 0.500 Mn
0.500 0.500 0.000 Mn
0.230 0.245 0.985 O
0.231 0.242 0.511 O
0.231 0.721 0.989 O
0.240 0.755 0.485 O
0.760 0.245 0.515 O
0.769 0.279 0.011 O
0.769 0.758 0.489 O
0.770 0.755 0.015 O
```

Properties
Formation energy from raw total energies in kJ per mole of atoms: -217.13
Crystal system: orthorhombic
Magnetization in μB/atom: 0.553

=====

Record 2
Below is a relaxed Li3TiMn3O8 crystal, with properties calculated at the GGA-PBEsol level.

Cell and atoms, written as POSCAR:
```
Li3TiMn3O8
1.0
5.762 0.000 0.000
-0.209 5.849 0.000
-2.765 -2.893 4.342
Li Ti Mn O
3 1 3 8
direct
0.000 0.000 0.000 Li
0.000 0.500 0.500 Li
0.500 0.000 0.000 Li
0.000 0.000 0.500 Ti
0.000 0.500 0.000 Mn
0.500 0.000 0.500 Mn
0.500 0.500 0.000 Mn
0.222 0.749 0.451 O
0.247 0.710 0.984 O
0.248 0.206 0.477 O
0.253 0.225 0.948 O
0.747 0.775 0.052 O
0.752 0.794 0.523 O
0.753 0.290 0.016 O
0.778 0.251 0.549 O
```

Properties
Formation energy from raw total energies in kJ per mole of atoms: -194.00
Crystal system: triclinic
Magnetization in μB/atom: 0.801

=====

Record 3
Below is a relaxed Li3TiMn4O8 crystal, with properties calculated at the GGA-PBEsol level.

Cell and atoms, written as POSCAR:
```
Li3TiMn4O8
1.0
5.212 -2.863 0.000
5.212 2.863 0.000
-3.611 0.000 9.392
Li Ti Mn O
6 2 8 16
direct
0.000 0.000 0.000 Li
0.238 0.741 0.250 Li
0.259 0.762 0.750 Li
0.500 0.500 0.500 Li
0.741 0.238 0.250 Li
0.762 0.259 0.750 Li
0.262 0.262 0.730 Ti
0.738 0.738 0.270 Ti
0.000 0.000 0.500 Mn
0.000 0.500 0.000 Mn
0.000 0.500 0.500 Mn
0.239 0.239 0.256 Mn
0.500 0.000 0.000 Mn
0.500 0.000 0.500 Mn
0.500 0.500 0.000 Mn
0.761 0.761 0.744 Mn
0.118 0.621 0.379 O
0.128 0.128 0.385 O
0.142 0.629 0.865 O
0.150 0.150 0.874 O
0.357 0.357 0.122 O
0.371 0.858 0.135 O
0.375 0.375 0.613 O
0.379 0.882 0.621 O
0.621 0.118 0.379 O
0.625 0.625 0.387 O
0.629 0.142 0.865 O
0.643 0.643 0.878 O
0.850 0.850 0.126 O
0.858 0.371 0.135 O
0.872 0.872 0.615 O
0.882 0.379 0.621 O
```

Properties
Formation energy from raw total energies in kJ per mole of atoms: -180.32
Crystal system: monoclinic
Magnetization in μB/atom: 0.772

=====

Record 4
Below is a relaxed Li2TiMn3O8 crystal, with properties calculated at the GGA-PBEsol level.

Cell and atoms, written as POSCAR:
```
Li2TiMn3O8
1.0
2.857 1.649 4.719
-2.857 1.649 4.719
0.000 -3.299 4.719
Li Ti Mn O
2 1 3 8
direct
0.124 0.124 0.124 Li
0.876 0.876 0.876 Li
0.500 0.500 0.500 Ti
0.000 0.500 0.500 Mn
0.500 0.000 0.500 Mn
0.500 0.500 0.000 Mn
0.258 0.258 0.716 O
0.258 0.716 0.258 O
0.264 0.264 0.264 O
0.284 0.742 0.742 O
0.716 0.258 0.258 O
0.736 0.736 0.736 O
0.742 0.284 0.742 O
0.742 0.742 0.284 O
```

Properties
Formation energy from raw total energies in kJ per mole of atoms: -202.60
Crystal system: trigonal
Magnetization in μB/atom: 0.498

=====

Record 5
Below is a relaxed Li3TiMn4O8 crystal, with properties calculated at the GGA-PBEsol level.

Cell and atoms, written as POSCAR:
```
Li3TiMn4O8
1.0
5.225 -2.838 0.000
5.225 2.838 0.000
-3.133 0.000 4.885
Li Ti Mn O
3 1 4 8
direct
0.000 0.000 0.000 Li
0.000 0.500 0.000 Li
0.500 0.000 0.000 Li
0.500 0.500 0.500 Ti
0.000 0.000 0.500 Mn
0.000 0.500 0.500 Mn
0.500 0.000 0.500 Mn
0.500 0.500 0.000 Mn
0.234 0.738 0.241 O
0.260 0.260 0.740 O
0.262 0.766 0.759 O
0.267 0.267 0.288 O
0.733 0.733 0.712 O
0.738 0.234 0.241 O
0.740 0.740 0.260 O
0.766 0.262 0.759 O
```

Properties
Formation energy from raw total energies in kJ per mole of atoms: -180.37
Crystal system: monoclinic
Magnetization in μB/atom: 0.914

=====

Record 6
Below is a relaxed Li2TiMnO4 crystal, with properties calculated at the GGA-PBEsol level.

Cell and atoms, written as POSCAR:
```
Li2TiMnO4
1.0
-2.008 2.008 4.278
2.008 -2.008 4.278
2.008 2.008 -4.278
Li Ti Mn O
2 1 1 4
direct
0.000 0.000 0.000 Li
0.750 0.250 0.500 Li
0.250 0.750 0.500 Ti
0.500 0.500 0.000 Mn
0.012 0.512 0.500 O
0.250 0.250 0.000 O
0.488 0.988 0.500 O
0.750 0.750 0.000 O
```

Properties
Formation energy from raw total energies in kJ per mole of atoms: -219.80
Crystal system: tetragonal
Magnetization in μB/atom: 0.451

=====

Record 7
Below is a relaxed Li4Ti3Mn3V2O16 crystal, with properties calculated at the GGA-PBEsol level.

Cell and atoms, written as POSCAR:
```
Li4Ti3Mn3V2O16
1.0
4.988 -2.910 0.000
4.988 2.910 0.000
-0.041 0.000 9.416
Li Ti Mn V O
4 3 3 2 16
direct
0.000 0.000 0.000 Li
0.003 0.003 0.497 Li
0.329 0.329 0.098 Li
0.664 0.664 0.595 Li
0.162 0.657 0.776 Ti
0.657 0.162 0.776 Ti
0.829 0.829 0.275 Ti
0.167 0.167 0.783 Mn
0.341 0.827 0.281 Mn
0.827 0.341 0.281 Mn
0.331 0.331 0.499 V
0.656 0.656 0.008 V
0.002 0.002 0.684 O
0.004 0.004 0.187 O
0.038 0.483 0.649 O
0.167 0.669 0.395 O
0.171 0.171 0.403 O
0.329 0.329 0.890 O
0.334 0.820 0.898 O
0.479 0.479 0.654 O
0.483 0.038 0.649 O
0.516 0.516 0.149 O
0.517 0.957 0.153 O
0.665 0.665 0.388 O
0.669 0.167 0.395 O
0.820 0.334 0.898 O
0.830 0.830 0.892 O
0.957 0.517 0.153 O
```

Properties
Formation energy from raw total energies in kJ per mole of atoms: -224.60
Crystal system: monoclinic
Magnetization in μB/atom: 0.472

=====

Record 8
Below is a relaxed Li4TiMnW2O12 crystal, with properties calculated at the GGA-PBEsol level.

Cell and atoms, written as POSCAR:
```
Li4TiMnW2O12
1.0
5.020 0.000 0.000
0.000 5.299 0.000
-0.003 -0.542 7.279
Li Ti Mn W O
4 1 1 2 12
direct
0.000 0.000 0.000 Li
0.000 0.003 0.489 Li
0.500 0.488 0.494 Li
0.500 0.503 0.997 Li
0.003 0.555 0.715 Ti
0.498 0.070 0.210 Mn
0.000 0.572 0.213 W
0.499 0.061 0.709 W
0.122 0.599 0.452 O
0.181 0.906 0.758 O
0.200 0.281 0.142 O
0.300 0.786 0.140 O
0.324 0.400 0.756 O
0.382 0.094 0.450 O
0.615 0.085 0.954 O
0.690 0.387 0.257 O
0.690 0.775 0.636 O
0.802 0.892 0.258 O
0.807 0.272 0.638 O
0.881 0.591 0.956 O
```

Properties
Formation energy from raw total energies in kJ per mole of atoms: -217.11
Crystal system: triclinic
Magnetization in μB/atom: 0.150

=====

Record 9
Below is a relaxed Li4Ti3Mn3W2O16 crystal, with properties calculated at the GGA-PBEsol level.

Cell and atoms, written as POSCAR:
```
Li4Ti3Mn3W2O16
1.0
5.148 -2.950 0.000
5.148 2.950 0.000
-0.260 0.000 9.691
Li Ti Mn W O
4 3 3 2 16
direct
0.000 0.000 0.000 Li
0.007 0.007 0.506 Li
0.332 0.332 0.421 Li
0.660 0.660 0.921 Li
0.172 0.172 0.738 Ti
0.341 0.839 0.231 Ti
0.839 0.341 0.231 Ti
0.171 0.660 0.723 Mn
0.660 0.171 0.723 Mn
0.832 0.832 0.224 Mn
0.338 0.338 0.999 W
0.670 0.670 0.502 W
0.002 0.002 0.813 O
0.004 0.004 0.320 O
0.033 0.468 0.869 O
0.171 0.171 0.116 O
0.186 0.661 0.104 O
0.325 0.325 0.623 O
0.353 0.843 0.606 O
0.468 0.033 0.869 O
0.476 0.476 0.866 O
0.511 0.961 0.360 O
0.522 0.522 0.357 O
0.661 0.186 0.104 O
0.661 0.661 0.122 O
0.834 0.834 0.591 O
0.843 0.353 0.606 O
0.961 0.511 0.360 O
```

Properties
Formation energy from raw total energies in kJ per mole of atoms: -213.62
Crystal system: monoclinic
Magnetization in μB/atom: 0.462

=====

Record 10
Below is a relaxed Li5Mn5V2O12 crystal, with properties calculated at the GGA-PBEsol level.

Cell and atoms, written as POSCAR:
```
Li5Mn5V2O12
1.0
2.466 -4.306 0.000
2.466 4.306 0.000
-1.576 0.000 9.652
Li Mn V O
5 5 2 12
direct
0.000 0.000 0.000 Li
0.253 0.256 0.761 Li
0.400 0.081 0.243 Li
0.744 0.747 0.239 Li
0.919 0.600 0.757 Li
0.076 0.408 0.238 Mn
0.145 0.855 0.500 Mn
0.491 0.509 0.500 Mn
0.592 0.924 0.762 Mn
0.661 0.339 0.000 Mn
0.329 0.671 0.000 V
0.846 0.154 0.500 V
0.026 0.696 0.118 O
0.099 0.113 0.362 O
0.210 0.553 0.620 O
0.304 0.974 0.882 O
0.377 0.379 0.117 O
0.447 0.790 0.380 O
0.530 0.206 0.610 O
0.621 0.623 0.883 O
0.693 0.047 0.118 O
0.794 0.470 0.390 O
0.887 0.901 0.638 O
0.953 0.307 0.882 O
```

Properties
Formation energy from raw total energies in kJ per mole of atoms: -180.60
Crystal system: monoclinic
Magnetization in μB/atom: 0.597

=====

Record 11
Below is a relaxed Li4Mn3V5O16 crystal, with properties calculated at the GGA-PBEsol level.

Cell and atoms, written as POSCAR:
```
Li4Mn3V5O16
1.0
4.970 -2.840 0.000
4.970 2.840 0.000
-0.040 0.000 9.379
Li Mn V O
4 3 5 16
direct
0.000 0.000 0.000 Li
0.004 0.004 0.502 Li
0.335 0.335 0.105 Li
0.670 0.670 0.598 Li
0.168 0.168 0.784 Mn
0.343 0.832 0.283 Mn
0.832 0.343 0.283 Mn
0.177 0.652 0.783 V
0.336 0.336 0.504 V
0.652 0.177 0.783 V
0.668 0.668 0.009 V
0.835 0.835 0.281 V
0.000 0.000 0.690 O
0.004 0.004 0.187 O
0.043 0.483 0.656 O
0.166 0.668 0.395 O
0.169 0.169 0.401 O
0.328 0.328 0.897 O
0.340 0.820 0.898 O
0.483 0.043 0.656 O
0.483 0.483 0.650 O
0.521 0.521 0.157 O
0.521 0.961 0.157 O
0.668 0.166 0.395 O
0.670 0.670 0.390 O
0.820 0.340 0.898 O
0.833 0.833 0.894 O
0.961 0.521 0.157 O
```

Properties
Formation energy from raw total energies in kJ per mole of atoms: -205.19
Crystal system: monoclinic
Magnetization in μB/atom: 0.564

=====

Record 12
Below is a relaxed Li3MnV2O6 crystal, with properties calculated at the GGA-PBEsol level.

Cell and atoms, written as POSCAR:
```
Li3MnV2O6
1.0
6.410 -1.384 0.000
6.410 1.384 0.000
-1.779 0.000 5.542
Li Mn V O
3 1 2 6
direct
0.000 0.000 0.000 Li
0.337 0.337 0.653 Li
0.663 0.663 0.347 Li
0.000 0.000 0.500 Mn
0.320 0.320 0.132 V
0.680 0.680 0.868 V
0.159 0.159 0.604 O
0.161 0.161 0.095 O
0.492 0.492 0.266 O
0.508 0.508 0.734 O
0.839 0.839 0.905 O
0.841 0.841 0.396 O
```

Properties
Formation energy from raw total energies in kJ per mole of atoms: -209.17
Crystal system: monoclinic
Magnetization in μB/atom: 0.226